Density functional theory data (PBE) for an optimized crystal structure of Sc2Sn2Pb.

The relative energy among the computed polymorphs is 0.00 eV per formula unit. As for the energy of formation from the pure elements: -1.87 eV per formula unit. The value obtained for the density of states at the Fermi level is 3.75 states/eV/f.u.

The space group is P4/mbm (No. 127) and the conventional cell measures 8.7776, 8.7776 and 3.3459 Å, with angles of 90.00, 90.00 and 90.00 degrees. The asymmetric unit holds Sc at (0.1385, 0.3615, 0.0000), Sn at (0.1566, 0.6566, 0.5000) and Pb at (0.0000, 0.0000, 0.5000).



Density functional theory data (PBE) for an optimized crystal structure of Sc6Sn3Pb.

As for the energy of formation from the pure elements: -5.17 eV per formula unit. The value obtained for the density of states at the Fermi level is 11.40 states/eV/f.u.

The space group is Cmcm (No. 63) and the conventional cell measures 10.8790, 10.8938 and 8.1469 Å, with angles of 90.00, 90.00 and 90.00 degrees. The asymmetric unit holds Sc at (0.0000, 0.1629, 0.0043), Sc at (0.1673, 0.5000, 0.0000), Sc at (0.2476, 0.2505, 0.2500), Sn at (0.0000, 0.3617, 0.2500), Sn at (0.1383, 0.0017, 0.7500) and Pb at (0.0000, 0.3582, 0.7500).



no.,VASP energy (eV for the cell shown)
1,-52.50
2,-235.49